Entry 1:
14
Lattice="-2.546 2.041 -2.844 -6.134 3.345 4.597 1.557 8.136 1.151" Properties=species:S:1:pos:R:3 comment="Y3Zn9In2 PBE optimized geometry" final_energy_ha_per_atom=-0.1073 formation_energy_ev_per_fu=-4.55 dos_ef_per_ev_cell=6.8 pbc="T T T"
Zn -6.507 10.349 3.369
Zn -3.391 10.286 0.535
Zn -0.616 3.173 -0.466
Zn -2.592 1.942 0.419
Zn -3.732 3.235 2.368
Zn -6.887 8.108 2.101
Zn -0.236 5.413 0.802
Zn -4.531 11.580 2.484
Zn -2.289 5.740 2.874
Y -3.151 4.855 -0.283
Y 0.000 0.000 0.000
Y -3.972 8.667 3.187
In -5.093 5.807 2.138
In -2.030 7.715 0.765

---

Entry 2:
4
Lattice="-2.541 5.533 0.149 -1.130 2.521 5.428 4.670 -2.725 -2.803" Properties=species:S:1:pos:R:3 comment="Y2ZnIn PBE optimized geometry" final_energy_ha_per_atom=-0.1655 formation_energy_ev_per_fu=-1.08 dos_ef_per_ev_cell=3.5 pbc="T T T"
In 0.147 3.418 0.067
Y 0.853 1.911 2.707
Y 0.000 0.000 0.000
Zn -1.835 4.027 2.789

---

Entry 3:
4
Lattice="3.515 0.000 0.000 0.000 3.514 0.000 0.000 0.000 6.974" Properties=species:S:1:pos:R:3 comment="YZn2In PBE optimized geometry" final_energy_ha_per_atom=-0.1145 formation_energy_ev_per_fu=-0.71 dos_ef_per_ev_cell=1.9 pbc="T T T"
Zn 0.000 0.000 0.133
Zn 0.000 0.000 3.355
In 1.758 1.757 1.744
Y 1.758 1.757 5.231

---

Entry 4:
6
Lattice="-1.083 -3.469 -0.178 2.234 -0.910 4.130 -6.970 1.960 4.203" Properties=species:S:1:pos:R:3 comment="Y2ZnIn3 PBE optimized geometry" polymorph_energy_ev_per_atom=0.003 final_energy_ha_per_atom=-0.1530 formation_energy_ev_per_fu=-2.57 dos_ef_per_ev_cell=3.1 pbc="T T T"
In -3.963 -0.913 4.713
In -1.794 -1.382 0.666
In -6.374 -0.094 3.427
Y -3.452 0.971 2.081
Y 1.065 -0.440 2.097
Zn -1.721 -1.543 3.361

---

Entry 5:
6
Lattice="5.092 0.000 0.000 2.546 4.403 0.254 2.546 0.988 8.331" Properties=species:S:1:pos:R:3 comment="Y4ZnIn PBE optimized geometry" polymorph_energy_ev_per_atom=0.219 final_energy_ha_per_atom=-0.1852 formation_energy_ev_per_fu=-0.37 dos_ef_per_ev_cell=8.1 pbc="T T T"
Y 5.092 2.508 7.522
Y 5.092 2.883 1.063
Y 7.638 4.230 3.219
Y 2.546 1.161 5.366
Zn 0.000 0.000 0.000
In 5.092 2.696 4.293

---

Entry 6:
3
Lattice="-0.117 -4.660 0.509 2.379 -2.038 3.489 -2.306 -1.906 3.610" Properties=species:S:1:pos:R:3 comment="YZnIn PBE optimized geometry" final_energy_ha_per_atom=-0.1432 formation_energy_ev_per_fu=-1.22 dos_ef_per_ev_cell=0.8 pbc="T T T"
Y -0.022 -4.302 3.804
Zn -0.034 -6.453 5.706
In 0.000 0.000 0.000

---

Density values (in Mg/m³) by entry order: 6.64, 5.84, 6.45, 6.70, 4.80, 6.13.